The following is a GGA-PBE calculation of crystalline CaSiNi2 at its relaxed geometry, from Alexandria.

```
CaSiNi2
1.0
-0.7384 0.5734 3.8912
-1.8642 -2.8350 2.1220
2.6424 -3.5354 5.1294
Ni Ca Si
2 1 1
Cartesian
-0.4028 -5.1587 10.1947
-0.1884 -4.1021 8.0227
-0.3153 -1.7318 3.5369
1.0058 -3.4996 6.1021
```

* formation energy (no corrections): -539 meV per atom
* space-group type: C2/m